1.
Here is a relaxed BaFeHg crystal from the Alexandria database. Energies are from PBE.

The calculation puts the formation energy at 0.337 eV per atom.

It has space group I4mm (No. 107), with a = 3.769 Å, b = 3.769 Å, c = 11.671 Å, α = 90.00°, β = 90.00° and γ = 90.00°. The asymmetric unit holds Ba at (0.000, 0.000, 0.000), Fe at (0.000, 0.000, 0.277) and Hg at (0.000, 0.000, 0.713).

2.
Here is a relaxed TiGa2C2 crystal from the Alexandria database. Energies are from PBE.

The calculation puts the formation energy at 1.308 eV per atom.

It has space group P4/mbm (No. 127), with a = 6.406 Å, b = 6.406 Å, c = 2.922 Å, α = 90.00°, β = 90.00° and γ = 90.00°. The asymmetric unit holds Ti at (0.000, 0.000, 0.000), Ga at (0.131, 0.369, 0.000) and C at (0.193, 0.693, 0.500).

Number 1: uncorrected energy -3.23 eV per atom, DOS at the Fermi energy 8.639 states/eV/cell. Number 2: uncorrected energy -5.17 eV per atom, DOS at the Fermi energy 7.901 states/eV/cell.